[1]
# PBE LaTa2SI, optimized geometry
data_LaTa2SI
_space_group_name_H-M_alt 'P 4/m m m'
_space_group_IT_number 123
_space_group_name_Hall '-P 4 2'
_cell_length_a 5.187
_cell_length_b 5.187
_cell_length_c 5.841
_cell_angle_alpha 90.00
_cell_angle_beta 90.00
_cell_angle_gamma 90.00
loop_
_atom_site_label
_atom_site_type_symbol
_atom_site_fract_x
_atom_site_fract_y
_atom_site_fract_z
_atom_site_occupancy
La1 La 0.000 0.000 0.000 1
Ta1 Ta 0.000 0.500 0.000 1
S1 S 0.500 0.500 0.500 1
I1 I 0.000 0.000 0.500 1
# DOS at the Fermi energy in states/eV/cell: 8.6
# Energy in eV per cell: -23.3

***

[2]
# PBE BaCaSmBiO6, optimized geometry
data_BaCaSmBiO6
_space_group_name_H-M_alt 'F -4 3 m'
_space_group_IT_number 216
_space_group_name_Hall 'F -4 2 3'
_cell_length_a 8.731
_cell_length_b 8.731
_cell_length_c 8.731
_cell_angle_alpha 90.00
_cell_angle_beta 90.00
_cell_angle_gamma 90.00
loop_
_atom_site_label
_atom_site_type_symbol
_atom_site_fract_x
_atom_site_fract_y
_atom_site_fract_z
_atom_site_occupancy
Ba1 Ba 0.000 0.000 0.000 1
Ca1 Ca 0.000 0.000 0.500 1
Sm1 Sm 0.250 0.250 0.750 1
Bi1 Bi 0.250 0.250 0.250 1
O1 O 0.008 0.250 0.250 1
# DOS at the Fermi energy in states/eV/cell: 0.0
# Relative energy among the computed polymorphs in eV per atom: 0.120

***

[3]
# PBE CdInF3, optimized geometry
data_CdInF3
_space_group_name_H-M_alt 'C 1 2/m 1'
_space_group_IT_number 12
_cell_length_a 13.342
_cell_length_b 3.707
_cell_length_c 7.755
_cell_angle_alpha 90.00
_cell_angle_beta 109.90
_cell_angle_gamma 90.00
loop_
_space_group_symop_operation_xyz
'x,y,z'
'-x,-y,-z'
'-x,y,-z'
'x,-y,z'
'x+1/2,y+1/2,z'
'-x+1/2,-y+1/2,-z'
'-x+1/2,y+1/2,-z'
'x+1/2,-y+1/2,z'
loop_
_atom_site_label
_atom_site_type_symbol
_atom_site_fract_x
_atom_site_fract_y
_atom_site_fract_z
_atom_site_occupancy
Cd1 Cd 0.124 0.000 0.424 1
In1 In 0.129 0.500 0.890 1
F1 F 0.065 0.000 0.676 1
F2 F 0.068 0.500 0.236 1
F3 F 0.211 0.500 0.607 1
# Energy in eV per cell: -76.9